NaLi2La2: optimized geometry, PBE-GGA.

Values from the calculation:
Energy relative to the lowest polymorph listed for this composition (meV/atom): 0
Space group: P4/mbm
Crystal system: tetragonal

abc: 9.1953 9.1953 3.6713
angles: 90.00 90.00 90.00
Closest atoms and distances in Å follow each position.
Positions (direct):
Na  0.0000  0.0000  0.0000  4 Li 3.40, 2 Na 3.67
Na  0.5000  0.5000  0.0000  4 Li 3.40, 2 Na 3.67
Li  0.3278  0.8278  0.0000  6 La 3.28, 2 Na 3.40, 2 Li 3.67
Li  0.8278  0.6722  0.0000  6 La 3.28, 2 Na 3.40, 2 Li 3.67
Li  0.6722  0.1722  0.0000  6 La 3.28, 2 Na 3.40, 2 Li 3.67
Li  0.1722  0.3278  0.0000  6 La 3.28, 2 Na 3.40, 2 Li 3.67
La  0.1186  0.6186  0.5000  1 La 3.08, 6 Li 3.28
La  0.6186  0.8814  0.5000  1 La 3.08, 6 Li 3.28
La  0.8814  0.3814  0.5000  1 La 3.08, 6 Li 3.28
La  0.3814  0.1186  0.5000  1 La 3.08, 6 Li 3.28


NaLiLa2Nb: optimized geometry, PBE-GGA.

Values from the calculation:
Space group: P4/mmm
Crystal system: tetragonal

abc: 5.6069 4.7937 5.6069
angles: 90.00 90.00 90.00
Closest atoms and distances in Å follow each position.
Positions (direct):
Na  0.5000  0.5000  0.5000  8 La 3.69, 4 Nb 3.96
Nb  0.0000  0.5000  0.0000  2 Li 2.40
Li  0.0000  0.0000  0.0000  2 Nb 2.40
La  0.0000  0.0000  0.5000  2 Li 2.80
La  0.5000  0.0000  0.0000  2 Li 2.80


NaLiLa2Ni: optimized geometry, PBE-GGA.

Values from the calculation:
Space group: P4/mmm
Crystal system: tetragonal

abc: 5.4123 5.4123 5.2429
angles: 90.00 90.00 90.00
Closest atoms and distances in Å follow each position.
Positions (direct):
Ni  0.0000  0.0000  0.0000  2 Li 2.62, 4 La 2.71
Li  0.0000  0.0000  0.5000  2 Ni 2.62
Na  0.5000  0.5000  0.5000  8 La 3.77, 4 Li 3.83
La  0.0000  0.5000  0.0000  2 Ni 2.71
La  0.5000  0.0000  0.0000  2 Ni 2.71


Formation energy from the elements readings, ordered: 5.26 19.51 0.57 kcal/mol of atoms
Magnetic moment readings, ordered: 0.0 2.0 0.0 μB per formula unit